Entry 1:
# Sr2ZnNi3F12

A relaxed structure of Sr2ZnNi3F12 (PBE+U, Alexandria).

## Properties
Electronic total energy (eV/f.u.): -81.438

abc: 7.1053 7.1053 17.0216
angles: 90.00 90.00 120.00
Closest atoms and distances in Å follow each position.
Space group R-3m (No. 166, hexagonal axes)
Inequivalent atoms, fractional coordinates:
Sr1 0.0000 0.0000 0.1284 (multiplicity 6)  6 F 2.66-2.87
Zn1 0.0000 0.0000 0.5000 (multiplicity 3)  6 F 2.07
Ni1 0.0000 0.5000 0.0000 (multiplicity 9)  6 F 1.99-2.02
F1 0.0256 0.5128 0.1183 (multiplicity 18)  1 Ni 2.02, 1 Zn 2.07
F2 0.0420 0.5210 0.3619 (multiplicity 18)  2 Ni 1.99

---

Entry 2:
# SrZn2NiF8

A relaxed structure of SrZn2NiF8 (PBE+U, Alexandria).

## Properties
Electronic total energy (eV/f.u.): -51.344

abc: 5.2842 5.2842 11.3393
angles: 90.00 90.00 90.00
Closest atoms and distances in Å follow each position.
Space group I-4 (No. 82)
Inequivalent atoms, fractional coordinates:
Sr1 0.0000 0.0000 0.0000 (multiplicity 2)  8 F 2.40-2.58
Zn1 0.0000 0.0000 0.5000 (multiplicity 2)  4 F 1.94
Zn2 0.0000 0.5000 0.7500 (multiplicity 2)  8 F 2.16-2.36
Ni1 0.0000 0.5000 0.2500 (multiplicity 2)  4 F 1.96
F1 0.1634 0.7354 0.5907 (multiplicity 8)  1 Zn 1.94
F2 0.1986 0.2280 0.1783 (multiplicity 8)  1 Ni 1.96, 1 Zn 2.16

---

Entry 3:
# TaNiF2

A relaxed structure of TaNiF2 (PBE+U, Alexandria).

## Properties
E above lowest polymorph (meV per atom): 945

abc: 5.6642 5.6642 5.6642
angles: 90.00 90.00 90.00
Closest atoms and distances in Å follow each position.
Space group Fm-3m (No. 225)
Inequivalent atoms, fractional coordinates:
Ta1 0.0000 0.0000 0.0000 (multiplicity 4)  8 F 2.45
Ni1 0.0000 0.0000 0.5000 (multiplicity 4)  8 F 2.45
F1 0.2500 0.2500 0.2500 (multiplicity 8)  4 Ta 2.45, 4 Ni 2.45

---

Entry 4:
# TaNi3F

A relaxed structure of TaNi3F (PBE+U, Alexandria).

## Properties
E above lowest polymorph (meV per atom): 1231

abc: 4.5032 4.5032 4.5032
angles: 90.00 90.00 90.00
Closest atoms and distances in Å follow each position.
Space group Pm-3m (No. 221)
Inequivalent atoms, fractional coordinates:
Ta1 0.0000 0.0000 0.0000 (multiplicity 1)  6 Ni 2.25
Ni1 0.0000 0.0000 0.5000 (multiplicity 3)  2 Ta 2.25
F1 0.5000 0.5000 0.5000 (multiplicity 1)  12 Ni 3.18

---

Entry 5:
# Ta2NiF2

A relaxed structure of Ta2NiF2 (PBE+U, Alexandria).

## Properties
E above lowest polymorph (meV per atom): 0

abc: 3.1960 3.1960 12.2874
angles: 90.00 90.00 90.00
Closest atoms and distances in Å follow each position.
Space group I4/mmm (No. 139)
Inequivalent atoms, fractional coordinates:
Ta1 0.0000 0.0000 0.1148 (multiplicity 4)  4 F 2.30
Ni1 0.0000 0.0000 0.5000 (multiplicity 2)  8 Ta 2.66
F1 0.0000 0.5000 0.2500 (multiplicity 4)  4 F 2.26, 4 Ta 2.30

---

Entry 6:
# Ta2NiF2

A relaxed structure of Ta2NiF2 (PBE+U, Alexandria).

## Properties
E above lowest polymorph (meV per atom): 881

abc: 7.2678 7.2678 2.7080
angles: 90.00 90.00 90.00
Closest atoms and distances in Å follow each position.
Space group P4/mbm (No. 127)
Inequivalent atoms, fractional coordinates:
Ta1 0.2311 0.2689 0.0000 (multiplicity 4)  2 F 2.15
Ni1 0.0000 0.0000 0.0000 (multiplicity 2)  4 Ta 2.58, 2 Ni 2.71
F1 0.1066 0.6066 0.5000 (multiplicity 4)  2 Ta 2.15, 1 F 2.19

---

Entry 7:
# TaNiF2

A relaxed structure of TaNiF2 (PBE+U, Alexandria).

## Properties
E above lowest polymorph (meV per atom): 0

abc: 2.7796 2.7796 26.2845
angles: 90.00 90.00 120.00
Closest atoms and distances in Å follow each position.
Space group R-3m (No. 166, hexagonal axes)
Inequivalent atoms, fractional coordinates:
Ta1 0.0000 0.0000 0.0000 (multiplicity 3)  6 F 2.24
Ni1 0.0000 0.0000 0.5000 (multiplicity 3)  6 Ni 2.78, 2 F 2.82
F1 0.0000 0.0000 0.3927 (multiplicity 6)  3 Ta 2.24

---

Entry 8:
# Ta3NiF

A relaxed structure of Ta3NiF (PBE+U, Alexandria).

## Properties
E above lowest polymorph (meV per atom): 0

abc: 4.2424 4.2424 4.2424
angles: 90.00 90.00 90.00
Closest atoms and distances in Å follow each position.
Space group Pm-3m (No. 221)
Inequivalent atoms, fractional coordinates:
Ta1 0.0000 0.0000 0.5000 (multiplicity 3)  2 F 2.12
Ni1 0.5000 0.5000 0.5000 (multiplicity 1)  12 Ta 3.00
F1 0.0000 0.0000 0.0000 (multiplicity 1)  6 Ta 2.12

---

Entry 9:
# TaNi3F

A relaxed structure of TaNi3F (PBE+U, Alexandria).

## Properties
E above lowest polymorph (meV per atom): 0

abc: 4.0901 4.0901 4.0901
angles: 90.00 90.00 90.00
Closest atoms and distances in Å follow each position.
Space group Pm-3m (No. 221)
Inequivalent atoms, fractional coordinates:
Ta1 0.0000 0.0000 0.0000 (multiplicity 1)  12 Ni 2.89
Ni1 0.0000 0.5000 0.5000 (multiplicity 3)  2 F 2.05
F1 0.5000 0.5000 0.5000 (multiplicity 1)  6 Ni 2.05

---

Entry 10:
# TaTcNi2F

A relaxed structure of TaTcNi2F (PBE+U, Alexandria).

## Properties
Electronic total energy (eV/f.u.): -22.970

abc: 4.4870 4.4870 3.8053
angles: 90.00 90.00 90.00
Closest atoms and distances in Å follow each position.
Space group P4/mmm (No. 123)
Inequivalent atoms, fractional coordinates:
Ta1 0.0000 0.0000 0.0000 (multiplicity 1)  8 Ni 2.94, 4 F 3.17
Tc1 0.5000 0.5000 0.5000 (multiplicity 1)  2 F 1.90
Ni1 0.0000 0.5000 0.5000 (multiplicity 2)  2 Tc 2.24
F1 0.5000 0.5000 0.0000 (multiplicity 1)  2 Tc 1.90

---

Entry 11:
# Tb2NiF8

A relaxed structure of Tb2NiF8 (PBE+U, Alexandria).

## Properties
Electronic total energy (eV/f.u.): -66.248

abc: 9.5639 7.1459 4.6103
angles: 90.00 108.97 90.00
Closest atoms and distances in Å follow each position.
Space group C2/m (No. 12)
Inequivalent atoms, fractional coordinates:
Tb1 0.1759 0.0000 0.3806 (multiplicity 4)  6 F 2.13-2.37
Ni1 0.0000 0.5000 0.0000 (multiplicity 2)  6 F 1.94-2.05
F1 0.0800 0.0000 0.7997 (multiplicity 4)  3 Tb 2.31-2.53
F2 0.1345 0.5000 0.7637 (multiplicity 4)  1 Ni 1.94, 1 Tb 2.13
F3 0.1450 0.3083 0.2684 (multiplicity 8)  1 Ni 2.05, 1 Tb 2.26

---

Entry 12:
# TbNiF5

A relaxed structure of TbNiF5 (PBE+U, Alexandria).

## Properties
Electronic total energy (eV/f.u.): -39.503

abc: 9.0514 6.6165 7.6059
angles: 90.00 114.61 90.00
Closest atoms and distances in Å follow each position.
Space group C2/c (No. 15)
Inequivalent atoms, fractional coordinates:
Tb1 0.0000 0.0550 0.2500 (multiplicity 4)  7 F 2.16-2.37
Ni1 0.0000 0.5000 0.0000 (multiplicity 4)  6 F 1.98-2.08
F1 0.0000 0.3982 0.2500 (multiplicity 4)  2 Ni 2.02
F2 0.0097 0.1898 0.9657 (multiplicity 8)  1 Ni 2.08, 1 Tb 2.28
F3 0.2393 0.4761 0.6236 (multiplicity 8)  1 Ni 1.98, 1 Tb 2.16

---

Entry 13:
# TbTl2NiF6

A relaxed structure of TbTl2NiF6 (PBE+U, Alexandria).

## Properties
Electronic total energy (eV/f.u.): -48.559

abc: 5.8543 10.3016 6.1534
angles: 90.00 90.00 90.00
Closest atoms and distances in Å follow each position.
Space group Pmmn (No. 59, origin choice 2)
Inequivalent atoms, fractional coordinates:
Tb1 0.2500 0.2500 0.2243 (multiplicity 2)  6 F 2.18-2.20
Tl1 0.2500 0.0269 0.7496 (multiplicity 4)  5 F 2.75-3.02
Ni1 0.2500 0.7500 0.2786 (multiplicity 2)  4 F 2.05-2.06
F1 0.0003 0.2500 0.9562 (multiplicity 4)  1 Ni 2.06, 1 Tb 2.20
F2 0.0047 0.7500 0.5167 (multiplicity 4)  1 Ni 2.05, 1 Tb 2.18
F3 0.2500 0.0374 0.1958 (multiplicity 4)  1 Tb 2.20

---

Entry 14:
# TbTl2Ni3F12

A relaxed structure of TbTl2Ni3F12 (PBE+U, Alexandria).

## Properties
Electronic total energy (eV/f.u.): -83.075

abc: 7.4547 7.4547 15.4391
angles: 90.00 90.00 120.00
Closest atoms and distances in Å follow each position.
Space group R-3m (No. 166, hexagonal axes)
Inequivalent atoms, fractional coordinates:
Tb1 0.0000 0.0000 0.0000 (multiplicity 3)  12 F 2.52-2.53
Tl1 0.0000 0.0000 0.3939 (multiplicity 6)  3 F 2.41
Ni1 0.0000 0.5000 0.5000 (multiplicity 9)  6 F 2.00
F1 0.0459 0.5229 0.3721 (multiplicity 18)  1 Ni 2.00
F2 0.0948 0.5474 0.7967 (multiplicity 18)  2 Ni 2.00

---

Entry 15:
# TcNi3F

A relaxed structure of TcNi3F (PBE+U, Alexandria).

## Properties
E above lowest polymorph (meV per atom): 1057

abc: 4.6626 4.6626 4.6626
angles: 90.00 90.00 90.00
Closest atoms and distances in Å follow each position.
Space group Pm-3m (No. 221)
Inequivalent atoms, fractional coordinates:
Tc1 0.0000 0.0000 0.0000 (multiplicity 1)  6 Ni 2.33
Ni1 0.0000 0.0000 0.5000 (multiplicity 3)  2 Tc 2.33
F1 0.5000 0.5000 0.5000 (multiplicity 1)  12 Ni 3.30

---

Entry 16:
# TcNiF6

A relaxed structure of TcNiF6 (PBE+U, Alexandria).

## Properties
Electronic total energy (eV/f.u.): -41.300

abc: 5.1845 5.1845 13.8466
angles: 90.00 90.00 120.00
Closest atoms and distances in Å follow each position.
Space group R-3 (No. 148, hexagonal axes)
Inequivalent atoms, fractional coordinates:
Tc1 0.0000 0.0000 0.0000 (multiplicity 3)  6 F 1.97
Ni1 0.0000 0.0000 0.5000 (multiplicity 3)  6 F 2.02
F1 0.0052 0.3799 0.7488 (multiplicity 18)  1 Tc 1.97, 1 Ni 2.02

---

Entry 17:
# Tc3NiF

A relaxed structure of Tc3NiF (PBE+U, Alexandria).

## Properties
E above lowest polymorph (meV per atom): 638

abc: 4.4843 4.4843 4.4843
angles: 90.00 90.00 90.00
Closest atoms and distances in Å follow each position.
Space group Pm-3m (No. 221)
Inequivalent atoms, fractional coordinates:
Tc1 0.0000 0.0000 0.5000 (multiplicity 3)  2 Ni 2.24
Ni1 0.0000 0.0000 0.0000 (multiplicity 1)  6 Tc 2.24
F1 0.5000 0.5000 0.5000 (multiplicity 1)  12 Tc 3.17

---

Entry 18:
# Tc3NiF

A relaxed structure of Tc3NiF (PBE+U, Alexandria).

## Properties
E above lowest polymorph (meV per atom): 0

abc: 4.0862 4.0862 4.0862
angles: 90.00 90.00 90.00
Closest atoms and distances in Å follow each position.
Space group Pm-3m (No. 221)
Inequivalent atoms, fractional coordinates:
Tc1 0.0000 0.0000 0.5000 (multiplicity 3)  2 F 2.04
Ni1 0.5000 0.5000 0.5000 (multiplicity 1)  12 Tc 2.89
F1 0.0000 0.0000 0.0000 (multiplicity 1)  6 Tc 2.04

---

Entry 19:
# TcNiF3

A relaxed structure of TcNiF3 (PBE+U, Alexandria).

## Properties
E above lowest polymorph (meV per atom): 0

abc: 4.0486 4.0486 4.0486
angles: 90.00 90.00 90.00
Closest atoms and distances in Å follow each position.
Space group Pm-3m (No. 221)
Inequivalent atoms, fractional coordinates:
Tc1 0.0000 0.0000 0.0000 (multiplicity 1)  12 F 2.86
Ni1 0.5000 0.5000 0.5000 (multiplicity 1)  6 F 2.02
F1 0.0000 0.5000 0.5000 (multiplicity 3)  2 Ni 2.02

---

Entry 20:
# TcNi3F

A relaxed structure of TcNi3F (PBE+U, Alexandria).

## Properties
E above lowest polymorph (meV per atom): 0

abc: 4.0679 4.0679 4.0679
angles: 90.00 90.00 90.00
Closest atoms and distances in Å follow each position.
Space group Pm-3m (No. 221)
Inequivalent atoms, fractional coordinates:
Tc1 0.0000 0.0000 0.0000 (multiplicity 1)  12 Ni 2.88
Ni1 0.0000 0.5000 0.5000 (multiplicity 3)  2 F 2.03
F1 0.5000 0.5000 0.5000 (multiplicity 1)  6 Ni 2.03